Entry from Alexandria: an optimized crystal structure of Tm6Ni5Rh (PBE).

DOS(E_F): 6.37 states/eV/cell
crystal system: orthorhombic
electronic total energy: -5.80 eV/atom
formation energy from the elements: -0.5400 eV/atom

Structure (extended XYZ):
```
12
Lattice="-2.8025 -0.8284 3.7316 -2.1946 -5.5567 -2.8818 3.8170 -4.0850 4.9699" Properties=species:S:1:pos:R:3 pbc="T T T"
Tm -1.6066 -3.4466 4.0485
Tm 1.5226 -4.2479 3.2106
Tm -2.7027 -6.2221 2.6091
Tm -1.9530 -1.8112 1.1413
Tm -3.0441 -4.5739 -0.2915
Tm 0.4264 -7.0234 1.7711
Ni 0.6836 -3.2807 5.8053
Ni -1.0973 -2.7783 -1.4409
Ni -0.4170 -6.0567 4.3624
Ni 0.3309 -1.6327 2.8961
Ni -0.7631 -4.4133 1.4572
Rh 0.0000 0.0000 0.0000
```

Entry from Alexandria: an optimized crystal structure of MgCoAs2 (PBE).

DOS(E_F): 2.57 states/eV/cell
crystal system: tetragonal
electronic total energy: -4.44 eV/atom
formation energy from the elements: 0.0636 eV/atom

Structure (extended XYZ):
```
4
Lattice="4.2018 0.0000 0.0000 0.0000 4.2018 0.0000 0.0000 0.0000 3.5995" Properties=species:S:1:pos:R:3 pbc="T T T"
Mg 0.0000 2.1009 1.7998
As 2.1009 2.1009 0.0000
As 0.0000 0.0000 0.0000
Co 2.1009 0.0000 1.7998
```

Entry from Alexandria: an optimized crystal structure of ZnGa4Ni7 (PBE).

DOS(E_F): 7.69 states/eV/cell
crystal system: monoclinic
electronic total energy: -4.60 eV/atom
formation energy from the elements: -0.1150 eV/atom

Structure (extended XYZ):
```
12
Lattice="4.3901 0.0000 0.0000 2.1950 7.6249 -0.0345 2.1950 0.3233 4.7409" Properties=species:S:1:pos:R:3 pbc="T T T"
Ni 2.1950 0.7999 2.3632
Ni 4.3901 3.7081 1.1447
Ni 2.1950 0.0000 0.0000
Ni 6.5851 7.1484 2.3433
Ni 6.5852 2.8978 3.6605
Ni 4.3901 4.2402 3.5618
Ni 2.1950 5.0505 1.0460
Ga 4.3901 1.9013 2.8042
Ga 2.1951 2.5300 0.7740
Ga 4.3901 6.0469 1.9023
Ga 6.5851 5.4182 3.9324
Zn 0.0000 0.0000 0.0000
```

Entry from Alexandria: an optimized crystal structure of LiAlRe3 (PBE).

DOS(E_F): 8.40 states/eV/cell
excess energy over the best structure of this formula in the dataset: 608 meV per atom
crystal system: cubic
electronic total energy: -6.71 eV/atom
formation energy from the elements: 1.8897 eV/atom

Structure (extended XYZ):
```
5
Lattice="-2.2789 3.4808 1.7097 -2.4497 -2.8294 2.4951 3.0063 0.3330 3.3292" Properties=species:S:1:pos:R:3 pbc="T T T"
Re -1.1395 1.7404 0.8548
Re -1.2249 -1.4147 1.2476
Re 1.5031 0.1665 1.6646
Li -0.8612 0.4922 3.7670
Al 0.0000 0.0000 0.0000
```

Q: Among the records above, which one has the highest electronic total energy?
A: MgCoAs2